Entry 1:
{
  "formula": "Al2CdAu",
  "functional": "GGA-PBE",
  "state": "relaxed",
  "cell": [[0.0000, 3.3625, 3.3625], [3.3625, 0.0000, 3.3625], [3.3625, 3.3625, 0.0000]],
  "species": ["Al", "Al", "Cd", "Au"],
  "fractional_positions": [[0.0000, 0.0000, 0.0000], [0.2500, 0.2500, 0.2500], [0.5000, 0.5000, 0.5000], [0.7500, 0.7500, 0.7500]],
  "energy_ev_per_atom": -2.86,
  "spacegroup": "F-43m, No. 216"
}

***

Entry 2:
{
  "formula": "AlCdAu",
  "functional": "GGA-PBE",
  "state": "relaxed",
  "cell": [[-1.7871, 1.8604, 4.2179], [1.7871, -1.8604, 4.2179], [1.7871, 1.8604, -4.2179]],
  "species": ["Al", "Cd", "Au"],
  "fractional_positions": [[0.0000, 0.0000, 0.0000], [0.3248, 0.3248, 0.0000], [0.6560, 0.6560, 0.0000]],
  "energy_ev_per_atom": -2.76,
  "spacegroup": "Imm2, No. 44"
}

***

Entry 3:
{
  "formula": "AlCd2Au",
  "functional": "GGA-PBE",
  "state": "relaxed",
  "cell": [[3.5796, 0.0000, 0.0000], [0.0000, 4.3721, 0.0000], [-1.1110, 0.0000, 5.2581]],
  "species": ["Al", "Cd", "Cd", "Au"],
  "fractional_positions": [[0.0000, 0.0000, 0.0000], [0.4399, 0.5000, 0.7998], [0.6842, 0.0000, 0.4678], [0.1280, 0.5000, 0.2604]],
  "energy_ev_per_atom": -2.29,
  "spacegroup": "Pm, No. 6"
}

***

Computed M_tot (μB/f.u.) in order:
0.00; 0.00; 0.00
Computed ΔH_f (0 K) (eV per atom) in order:
0.06; -0.12; -0.07